#i
# Hf5N5O2

Hf5N5O2 after structural relaxation (PBE, Alexandria).

Structure (CIF):
```
data_Hf5N5O2
_chemical_formula_sum 'Hf5 N5 O2'
_cell_length_a 5.3975
_cell_length_b 5.3975
_cell_length_c 9.1765
_cell_angle_alpha 105.30
_cell_angle_beta 105.30
_cell_angle_gamma 33.13
_space_group_name_H-M_alt 'P 1'
_space_group_IT_number 1
_space_group_name_Hall 'P 1'
loop_
_atom_site_label
_atom_site_type_symbol
_atom_site_fract_x
_atom_site_fract_y
_atom_site_fract_z
_atom_site_occupancy
Hf1 Hf 0.0000 0.0000 0.0000 1
Hf2 Hf 0.1906 0.1906 0.7835 1
Hf3 Hf 0.5827 0.5827 0.3797 1
Hf4 Hf 0.7785 0.7785 0.1616 1
Hf5 Hf 0.8994 0.8994 0.5748 1
N1 N 0.1486 0.1486 0.2247 1
N2 N 0.3792 0.3792 0.0658 1
N3 N 0.5515 0.5515 0.6346 1
N4 N 0.6218 0.6218 0.9305 1
N5 N 0.9349 0.9349 0.3650 1
O1 O 0.2365 0.2365 0.5287 1
O2 O 0.8422 0.8422 0.7865 1
```

#ii
# Hf5N5O2

Hf5N5O2 after structural relaxation (PBE, Alexandria).

Structure (CIF):
```
data_Hf5N5O2
_chemical_formula_sum 'Hf5 N5 O2'
_cell_length_a 5.4245
_cell_length_b 5.4245
_cell_length_c 9.1207
_cell_angle_alpha 104.85
_cell_angle_beta 104.85
_cell_angle_gamma 32.91
_space_group_name_H-M_alt 'P 1'
_space_group_IT_number 1
_space_group_name_Hall 'P 1'
loop_
_atom_site_label
_atom_site_type_symbol
_atom_site_fract_x
_atom_site_fract_y
_atom_site_fract_z
_atom_site_occupancy
Hf1 Hf 0.0000 0.0000 0.0000 1
Hf2 Hf 0.1129 0.1129 0.4233 1
Hf3 Hf 0.2967 0.2967 0.1900 1
Hf4 Hf 0.7033 0.7033 0.8100 1
Hf5 Hf 0.8871 0.8871 0.5767 1
N1 N 0.2632 0.2632 0.6471 1
N2 N 0.3433 0.3433 0.9470 1
N3 N 0.5000 0.5000 0.5000 1
N4 N 0.6567 0.6567 0.0530 1
N5 N 0.7368 0.7368 0.3529 1
O1 O 0.0454 0.0454 0.7873 1
O2 O 0.9546 0.9546 0.2127 1
```

In order of decreasing stability: #ii, #i.

#i
# HfTaNO3

HfTaNO3 after structural relaxation (PBE, Alexandria).

Structure (CIF):
```
data_HfTaNO3
_chemical_formula_sum 'Hf1 Ta1 N1 O3'
_cell_length_a 3.5166
_cell_length_b 3.5917
_cell_length_c 5.2930
_cell_angle_alpha 90.00
_cell_angle_beta 90.00
_cell_angle_gamma 90.00
_space_group_name_H-M_alt 'P 1'
_space_group_IT_number 1
_space_group_name_Hall 'P 1'
loop_
_atom_site_label
_atom_site_type_symbol
_atom_site_fract_x
_atom_site_fract_y
_atom_site_fract_z
_atom_site_occupancy
Hf1 Hf 0.0000 0.0000 0.0000 1
Ta1 Ta 0.5000 0.5000 0.5239 1
N1 N 0.5000 0.0000 0.6921 1
O1 O 0.0000 0.5000 0.3377 1
O2 O 0.0000 0.5000 0.8216 1
O3 O 0.5000 0.0000 0.2010 1
```

#ii
# HfTaNO3

HfTaNO3 after structural relaxation (PBE, Alexandria).

Structure (CIF):
```
data_HfTaNO3
_chemical_formula_sum 'Hf2 Ta2 N2 O6'
_cell_length_a 5.0773
_cell_length_b 5.1191
_cell_length_c 5.3136
_cell_angle_alpha 90.00
_cell_angle_beta 99.32
_cell_angle_gamma 90.00
_space_group_name_H-M_alt 'P 1'
_space_group_IT_number 1
_space_group_name_Hall 'P 1'
loop_
_atom_site_label
_atom_site_type_symbol
_atom_site_fract_x
_atom_site_fract_y
_atom_site_fract_z
_atom_site_occupancy
Hf1 Hf 0.2183 0.0000 0.0360 1
Hf2 Hf 0.7817 0.5000 0.9640 1
Ta1 Ta 0.2121 0.5934 0.5369 1
Ta2 Ta 0.7879 0.0934 0.4631 1
N1 N 0.0515 0.3051 0.2904 1
N2 N 0.9485 0.8051 0.7096 1
O1 O 0.0539 0.2927 0.7732 1
O2 O 0.4281 0.7008 0.8945 1
O3 O 0.4408 0.8460 0.3965 1
O4 O 0.5592 0.3460 0.6035 1
O5 O 0.5719 0.2008 0.1055 1
O6 O 0.9461 0.7927 0.2268 1
```

In order of decreasing stability: #ii, #i.

#i
# HfOs3N

HfOs3N after structural relaxation (PBE, Alexandria).

Structure (CIF):
```
data_HfOs3N
_chemical_formula_sum 'Hf1 Os3 N1'
_cell_length_a 4.1138
_cell_length_b 4.1138
_cell_length_c 4.1138
_cell_angle_alpha 90.00
_cell_angle_beta 90.00
_cell_angle_gamma 90.00
_space_group_name_H-M_alt 'P 1'
_space_group_IT_number 1
_space_group_name_Hall 'P 1'
loop_
_atom_site_label
_atom_site_type_symbol
_atom_site_fract_x
_atom_site_fract_y
_atom_site_fract_z
_atom_site_occupancy
Hf1 Hf 0.0000 0.0000 0.0000 1
Os1 Os 0.0000 0.5000 0.5000 1
Os2 Os 0.5000 0.0000 0.5000 1
Os3 Os 0.5000 0.5000 0.0000 1
N1 N 0.5000 0.5000 0.5000 1
```

#ii
# HfOs3N

HfOs3N after structural relaxation (PBE, Alexandria).

Structure (CIF):
```
data_HfOs3N
_chemical_formula_sum 'Hf1 Os3 N1'
_cell_length_a 4.8751
_cell_length_b 4.8751
_cell_length_c 4.8751
_cell_angle_alpha 90.00
_cell_angle_beta 90.00
_cell_angle_gamma 90.00
_space_group_name_H-M_alt 'P 1'
_space_group_IT_number 1
_space_group_name_Hall 'P 1'
loop_
_atom_site_label
_atom_site_type_symbol
_atom_site_fract_x
_atom_site_fract_y
_atom_site_fract_z
_atom_site_occupancy
Hf1 Hf 0.0000 0.0000 0.0000 1
Os1 Os 0.0000 0.0000 0.5000 1
Os2 Os 0.0000 0.5000 0.0000 1
Os3 Os 0.5000 0.0000 0.0000 1
N1 N 0.5000 0.5000 0.5000 1
```

In order of decreasing stability: #i, #ii.